1.
Fe4ReSb: optimized geometry, PBE.

Properties
Energy relative to the elements, uncorrected (eV per atom): 0.274
ρ (Mg/m³): 11.15

Cell lengths 6.815, 6.815, 6.815 Å; angles 90.00, 90.00, 90.00 degrees
Space group F-43m (No. 216)
Unique sites:
Fe (0.124, 0.124, 0.124)
Re (0.250, 0.250, 0.750)
Sb (0.000, 0.000, 0.500)

---

2.
Ca2SmUS6: optimized geometry, PBE.

Properties
Energy relative to the elements, uncorrected (eV per atom): -1.776
ρ (Mg/m³): 4.16

Cell lengths 7.0138, 7.0138, 18.5780 Å; angles 90.00, 90.00, 120.00 degrees
Space group R3 (No. 146, hexagonal axes)
Unique sites:
Ca (0.0000, 0.0000, 0.0000)
Ca (0.0000, 0.0000, 0.4940)
Sm (0.0000, 0.0000, 0.2029)
U (0.0000, 0.0000, 0.6966)
S (0.0454, 0.3402, 0.7706)
S (0.0505, 0.6818, 0.2735)

---

3.
DyErAu5: optimized geometry, PBE.

Properties
ρ (Mg/m³): 14.86
Formation enthalpy at 0 K (eV per atom): -0.671

Cell lengths 6.725, 8.140, 11.219 Å; angles 90.00, 106.85, 90.00 degrees
Space group C2/c (No. 15)
Unique sites:
Dy (0.250, 0.250, 0.000)
Er (0.000, 0.186, 0.250)
Au (0.000, 0.179, 0.750)
Au (0.102, 0.494, 0.647)
Au (0.173, 0.108, 0.542)

---

4.
BeAg2Pb: optimized geometry, PBE.

Properties
ρ (Mg/m³): 9.39
Formation enthalpy at 0 K (eV per atom): 0.280
E above lowest polymorph (meV per atom): 67

Cell lengths 3.223, 3.390, 6.994 Å; angles 90.00, 90.00, 90.00 degrees
Space group Pmm2 (No. 25)
Unique sites:
Be (0.000, 0.000, 0.000)
Ag (0.000, 0.000, 0.371)
Ag (0.500, 0.500, 0.124)
Pb (0.500, 0.500, 0.691)

---

5.
SrPm2SmSe4: optimized geometry, PBE.

Properties
Energy relative to the elements, uncorrected (eV per atom): -1.861
ρ (Mg/m³): 6.50

Cell lengths 7.354, 4.215, 7.359 Å; angles 90.00, 109.07, 90.00 degrees
Space group P2/m (No. 10)
Unique sites:
Sr (0.000, 0.000, 0.000)
Pm (0.000, 0.500, 0.500)
Pm (0.500, 0.000, 0.500)
Sm (0.500, 0.500, 0.000)
Se (0.254, 0.000, 0.749)
Se (0.257, 0.500, 0.255)

---

6.
Sc3NiPt: optimized geometry, PBE.

Properties
ρ (Mg/m³): 6.07
Formation enthalpy at 0 K (eV per atom): -0.213
E above lowest polymorph (meV per atom): 0

Cell lengths 4.737, 4.737, 4.737 Å; angles 90.00, 90.00, 90.00 degrees
Space group Pm-3m (No. 221)
Unique sites:
Sc (0.000, 0.000, 0.500)
Ni (0.000, 0.000, 0.000)
Pt (0.500, 0.500, 0.500)

---

7.
MgNiTe: optimized geometry, PBE.

Properties
Energy relative to the elements, uncorrected (eV per atom): -0.204
ρ (Mg/m³): 6.00

Cell lengths 5.170, 7.295, 6.181 Å; angles 90.00, 90.00, 90.00 degrees
Space group Imma (No. 74)
Unique sites:
Mg (0.000, 0.250, 0.108)
Ni (0.250, 0.250, 0.750)
Te (0.000, 0.000, 0.500)

---

8.
Sc3TiCo: optimized geometry, PBE.

Properties
ρ (Mg/m³): 3.64
Formation enthalpy at 0 K (eV per atom): 0.204
E above lowest polymorph (meV per atom): 274

Cell lengths 4.795, 4.795, 4.795 Å; angles 90.00, 90.00, 90.00 degrees
Space group Pm-3m (No. 221)
Unique sites:
Sc (0.000, 0.000, 0.500)
Ti (0.500, 0.500, 0.500)
Co (0.000, 0.000, 0.000)

---

9.
Pa2MoSe4: optimized geometry, PBE.

Properties
Energy relative to the elements, uncorrected (eV per atom): -0.899
ρ (Mg/m³): 8.40

Cell lengths 13.431, 4.231, 7.090 Å; angles 90.00, 120.96, 90.00 degrees
Space group C2/m (No. 12)
Unique sites:
Pa (0.249, 0.000, 0.256)
Mo (0.000, 0.000, 0.000)
Se (0.102, 0.500, 0.267)
Se (0.116, 0.000, 0.783)

---

10.
CsNi6Se8: optimized geometry, PBE.

Properties
Energy relative to the elements, uncorrected (eV per atom): -0.343
ρ (Mg/m³): 5.72

Cell lengths 9.6548, 9.6548, 12.0417 Å; angles 90.00, 90.00, 120.00 degrees
Space group R-3 (No. 148, hexagonal axes)
Unique sites:
Cs (0.0000, 0.0000, 0.0000)
Ni (0.0109, 0.8175, 0.3941)
Se (0.0000, 0.0000, 0.2749)
Se (0.0168, 0.7309, 0.5793)

---

11.
NaS: optimized geometry, PBE.

Properties
Energy relative to the elements, uncorrected (eV per atom): -0.802
ρ (Mg/m³): 1.79
E above lowest polymorph (meV per atom): 28

Cell lengths 4.710, 4.885, 5.527 Å; angles 65.78, 70.02, 63.77 degrees
Space group P-1 (No. 2)
Unique sites:
Na (0.247, 0.193, 0.243)
S (0.086, 0.153, 0.811)

---

12.
KRbMg14: optimized geometry, PBE.

Properties
ρ (Mg/m³): 1.77
Formation enthalpy at 0 K (eV per atom): 0.195
E above lowest polymorph (meV per atom): 24

Cell lengths 6.8194, 6.8194, 10.8367 Å; angles 90.00, 90.00, 120.00 degrees
Space group P-6m2 (No. 187)
Unique sites:
K (0.0000, 0.0000, 0.0000)
Rb (0.0000, 0.0000, 0.5000)
Mg (0.0050, 0.5025, 0.0000)
Mg (0.0084, 0.5042, 0.5000)
Mg (0.1797, 0.3595, 0.2465)
Mg (0.6667, 0.3333, 0.2517)

---

13.
Sm4ScTl2: optimized geometry, PBE.

Properties
ρ (Mg/m³): 7.93
Formation enthalpy at 0 K (eV per atom): 0.173
E above lowest polymorph (meV per atom): 161

Cell lengths 5.787, 5.787, 13.192 Å; angles 90.00, 90.00, 90.00 degrees
Space group I4/mmm (No. 139)
Unique sites:
Sm (0.000, 0.500, 0.000)
Sm (0.000, 0.500, 0.250)
Sc (0.000, 0.000, 0.000)
Tl (0.000, 0.000, 0.373)

---

14.
CrGa3As: optimized geometry, PBE.

Properties
ρ (Mg/m³): 4.50
Formation enthalpy at 0 K (eV per atom): 0.739
E above lowest polymorph (meV per atom): 166

Cell lengths 4.987, 4.987, 4.987 Å; angles 90.00, 90.00, 90.00 degrees
Space group Pm-3m (No. 221)
Unique sites:
Cr (0.000, 0.000, 0.000)
Ga (0.000, 0.500, 0.500)
As (0.500, 0.500, 0.500)

---

15.
LiCa2Al3Pt4: optimized geometry, PBE.

Properties
ρ (Mg/m³): 8.45
Formation enthalpy at 0 K (eV per atom): -0.960

Cell lengths 4.168, 4.168, 10.721 Å; angles 90.00, 90.00, 90.00 degrees
Space group P-4m2 (No. 115)
Unique sites:
Li (0.000, 0.000, 0.000)
Ca (0.000, 0.500, 0.756)
Al (0.000, 0.500, 0.369)
Al (0.500, 0.500, 0.000)
Pt (0.000, 0.000, 0.500)
Pt (0.000, 0.500, 0.139)
Pt (0.500, 0.500, 0.500)

---

16.
CsTlBr2: optimized geometry, PBE.

Properties
Energy relative to the elements, uncorrected (eV per atom): -1.250
ρ (Mg/m³): 3.46

Cell lengths 7.858, 7.858, 15.449 Å; angles 90.00, 90.00, 90.00 degrees
Space group I-42d (No. 122)
Unique sites:
Cs (0.000, 0.000, 0.000)
Tl (0.000, 0.000, 0.500)
Br (0.216, 0.250, 0.625)

---

17.
Ce2AlAu: optimized geometry, PBE.

Properties
ρ (Mg/m³): 9.43
Formation enthalpy at 0 K (eV per atom): -0.440
E above lowest polymorph (meV per atom): 10

Cell lengths 4.352, 4.352, 4.687 Å; angles 90.00, 90.00, 90.00 degrees
Space group P4/mmm (No. 123)
Unique sites:
Ce (0.000, 0.500, 0.000)
Al (0.000, 0.000, 0.500)
Au (0.500, 0.500, 0.500)

---

18.
KTcSb2: optimized geometry, PBE.

Properties
Energy relative to the elements, uncorrected (eV per atom): 0.155
ρ (Mg/m³): 3.82
E above lowest polymorph (meV per atom): 301

Cell lengths 6.674, 6.674, 14.843 Å; angles 90.00, 90.00, 90.00 degrees
Space group I-42d (No. 122)
Unique sites:
K (0.000, 0.000, 0.000)
Tc (0.000, 0.000, 0.500)
Sb (0.008, 0.250, 0.625)

---

19.
SiTe2Au: optimized geometry, PBE.

Properties
Energy relative to the elements, uncorrected (eV per atom): 0.332
ρ (Mg/m³): 6.14

Cell lengths 3.865, 8.570, 7.849 Å; angles 90.00, 90.00, 90.00 degrees
Space group Cmmm (No. 65)
Unique sites:
Si (0.000, 0.000, 0.000)
Te (0.000, 0.500, 0.242)
Au (0.000, 0.000, 0.500)

---

20.
AlSiBr2: optimized geometry, PBE.

Properties
Energy relative to the elements, uncorrected (eV per atom): -0.247
ρ (Mg/m³): 2.63
E above lowest polymorph (meV per atom): 89

Cell lengths 4.450, 4.350, 7.328 Å; angles 90.00, 107.05, 90.00 degrees
Space group Pm (No. 6)
Unique sites:
Al (0.000, 0.000, 0.000)
Si (0.922, 0.500, 0.838)
Br (0.346, 0.500, 0.681)
Br (0.593, 0.000, 0.190)